An optimized crystal structure of ZrCr2. Source: Alexandria via LeMat-Bulk, functional PBE-GGA.

Unit cell a=2.743 b=4.623 c=7.285 alpha=90.00 beta=90.00 gamma=90.00
Fractional positions:
Cr (0.869, 0.000, 0.646)
Cr (0.631, 0.500, 0.146)
Cr (0.369, 0.500, 0.854)
Cr (0.131, 0.000, 0.354)
Zr (0.000, 0.000, 0.000)
Zr (0.500, 0.500, 0.500)

## Properties
* space-group type: No. 58
* spin magnetization: 0.00 μB per formula unit
* electronic total energy: -26.310 eV/f.u.
* energy of formation: 1.48 eV per formula unit